1.
VASP calculation (PBE) on a geometry-optimized Lu2ScGa structure.

```
Lu2ScGa
1.0
3.360 0.000 0.000
1.680 2.910 0.000
1.680 0.970 11.152
Sc Lu Ga
1 2 1
Direct
0.500 0.500 0.500
0.088 0.088 0.737
0.912 0.912 0.263
0.000 0.000 0.000
```

Distance to the lowest polymorph of the same formula = 0.410 eV/atom
Energy = -4.475 eV per atom
Energy relative to the elements = 126 meV/atom
SG = R-3m
Total moment = 0.00 μB per atom

2.
VASP calculation (PBE) on a geometry-optimized BaNbN2 structure.

```
BaNbN2
1.0
2.068 -3.755 0.664
-0.844 -2.342 3.552
-2.153 -3.751 -0.337
Nb Ba N
1 1 2
Direct
0.000 0.000 0.000
0.500 0.500 0.500
0.250 0.250 0.250
0.750 0.750 0.750
```

Energy = -6.412 eV per atom
Formation energy from raw total energies = 0.749 eV per atom
SG = Fm-3m
Total moment = 0.10 μB per atom

- Which of these has the lowest energy?
  BaNbN2